First-principles (PBE) data for an optimized crystal structure of Tm2Ni2Au, as listed in the Alexandria database.

## Properties
Size of the total moment ... 0.0 μB per cell
Uncorrected energy ... -5.406 eV/atom
Energy of formation ... -3.25 eV/f.u.
Offset from the most stable computed form ... 0.000 eV per atom

a b c (Å): 3.8586 13.6174 3.5459
angles (deg): 90.00 90.00 90.00
Closest atoms and distances in Å follow each position.
Space group Cmmm (No. 65)
Symmetry-distinct sites (fractional):
1 Tm 0.0000 0.1309 0.0000  6 Ni 2.78-2.93
2 Ni 0.0000 0.3017 0.5000  2 Ni 2.39
3 Au 0.0000 0.5000 0.5000  2 Ni 2.70

=====

First-principles (PBE) data for an optimized crystal structure of Tm2Ni15Au2, as listed in the Alexandria database.

## Properties
Size of the total moment ... 16.8 μB per cell
Uncorrected energy ... -5.570 eV/atom
Energy of formation ... -3.60 eV/f.u.

a b c (Å): 8.4396 8.4396 12.1814
angles (deg): 90.00 90.00 120.00
Closest atoms and distances in Å follow each position.
Space group R-3m (No. 166, hexagonal axes)
Symmetry-distinct sites (fractional):
1 Tm 0.0000 0.0000 0.1518  1 Au 2.91, 15 Ni 2.92-3.25
2 Ni 0.0000 0.3046 0.5000  8 Ni 2.41-2.57
3 Ni 0.0000 0.5000 0.0000  8 Ni 2.41-2.47, 2 Au 2.53
4 Ni 0.0091 0.5046 0.6548  8 Ni 2.39-2.54, 1 Au 2.64
5 Au 0.0000 0.0000 0.3903  6 Ni 2.53-2.64, 1 Au 2.67

=====

First-principles (PBE) data for an optimized crystal structure of Tm6NiAu2, as listed in the Alexandria database.

## Properties
Size of the total moment ... 0.0 μB per cell
Uncorrected energy ... -4.824 eV/atom
Energy of formation ... -4.25 eV/f.u.

a b c (Å): 6.6514 7.1425 11.7873
angles (deg): 90.00 123.51 90.00
Closest atoms and distances in Å follow each position.
Space group P2_1/c (No. 14)
Symmetry-distinct sites (fractional):
1 Tm 0.1122 0.0227 0.2478  1 Ni 2.65, 2 Au 2.91-2.92
2 Tm 0.2279 0.6876 0.0603  1 Ni 2.64, 1 Au 2.90
3 Tm 0.3767 0.1852 0.0609  1 Ni 2.63, 1 Au 2.94
4 Ni 0.5000 0.0000 0.5000  6 Tm 2.63-2.65
5 Au 0.2985 0.1072 0.7485  6 Tm 2.90-3.05

=====

First-principles (PBE) data for an optimized crystal structure of Tm3NiAu, as listed in the Alexandria database.

## Properties
Size of the total moment ... 0.0 μB per cell
Uncorrected energy ... -4.972 eV/atom
Energy of formation ... -2.39 eV/f.u.
Offset from the most stable computed form ... 0.027 eV per atom

a b c (Å): 4.0410 6.8551 8.7152
angles (deg): 90.00 90.00 90.00
Closest atoms and distances in Å follow each position.
Space group Pmmn (No. 59, origin choice 2)
Symmetry-distinct sites (fractional):
1 Tm 0.2500 0.0038 0.1644  3 Ni 2.73-2.84, 2 Au 3.00
2 Tm 0.2500 0.2500 0.5659  2 Au 2.88, 1 Ni 2.93
3 Ni 0.2500 0.2500 0.9018  7 Tm 2.73-2.93
4 Au 0.2500 0.7500 0.6697  6 Tm 2.88-3.00

=====

First-principles (PBE) data for an optimized crystal structure of Tm3Ni8Au, as listed in the Alexandria database.

## Properties
Size of the total moment ... 0.0 μB per cell
Uncorrected energy ... -5.724 eV/atom
Energy of formation ... -5.75 eV/f.u.

a b c (Å): 4.9673 4.9673 24.4003
angles (deg): 90.00 90.00 120.00
Closest atoms and distances in Å follow each position.
Space group R3m (No. 160, hexagonal axes)
Symmetry-distinct sites (fractional):
1 Tm 0.0000 0.0000 0.0000  12 Ni 2.80-3.01, 3 Au 2.97
2 Tm 0.0000 0.0000 0.1301  12 Ni 2.89-2.93, 4 Tm 3.14-3.18
3 Tm 0.0000 0.0000 0.5157  12 Ni 2.80-3.10, 1 Au 2.93
4 Ni 0.0000 0.0000 0.3194  6 Ni 2.50
5 Ni 0.0000 0.0000 0.8192  6 Ni 2.47-2.48
6 Ni 0.9996 0.4998 0.0698  6 Ni 2.47-2.50
7 Ni 0.1685 0.3371 0.9018  6 Ni 2.46-2.51
8 Au 0.0000 0.0000 0.6356  12 Ni 2.85-2.98, 4 Tm 2.93-2.97

=====

First-principles (PBE) data for an optimized crystal structure of Tm3NiAu, as listed in the Alexandria database.

## Properties
Size of the total moment ... 0.0 μB per cell
Uncorrected energy ... -5.000 eV/atom
Energy of formation ... -2.52 eV/f.u.
Offset from the most stable computed form ... 0.000 eV per atom

a b c (Å): 9.8137 6.3852 8.3314
angles (deg): 90.00 116.79 90.00
Closest atoms and distances in Å follow each position.
Space group C2/m (No. 12)
Symmetry-distinct sites (fractional):
1 Tm 0.0233 0.0000 0.2270  2 Ni 2.66, 2 Au 2.97
2 Tm 0.1797 0.5000 0.8625  2 Ni 2.79, 2 Au 3.08
3 Tm 0.2103 0.5000 0.3267  2 Ni 2.85, 2 Au 3.09
4 Ni 0.0000 0.3070 0.0000  1 Ni 2.46, 2 Tm 2.66
5 Au 0.0000 0.2758 0.5000  1 Au 2.86, 6 Tm 2.97-3.09

=====

First-principles (PBE) data for an optimized crystal structure of Tm5NiAu4, as listed in the Alexandria database.

## Properties
Size of the total moment ... 0.0 μB per cell
Uncorrected energy ... -4.924 eV/atom
Energy of formation ... -7.99 eV/f.u.

a b c (Å): 3.4973 3.4973 17.7380
angles (deg): 90.00 90.00 90.00
Closest atoms and distances in Å follow each position.
Space group P4/mmm (No. 123)
Symmetry-distinct sites (fractional):
1 Tm 0.0000 0.0000 0.0000  8 Au 3.06
2 Tm 0.0000 0.0000 0.2050  8 Au 3.06-3.07
3 Tm 0.0000 0.0000 0.4092  4 Ni 2.95, 4 Au 3.07, 1 Tm 3.22
4 Ni 0.5000 0.5000 0.5000  8 Tm 2.95
5 Au 0.5000 0.5000 0.1020  8 Tm 3.06-3.07
6 Au 0.5000 0.5000 0.3066  8 Tm 3.06-3.07

=====

First-principles (PBE) data for an optimized crystal structure of Tm2Ni2Au, as listed in the Alexandria database.

## Properties
Size of the total moment ... 0.0 μB per cell
Uncorrected energy ... -5.386 eV/atom
Energy of formation ... -3.15 eV/f.u.
Offset from the most stable computed form ... 0.021 eV per atom

a b c (Å): 7.1590 7.1590 3.5842
angles (deg): 90.00 90.00 90.00
Closest atoms and distances in Å follow each position.
Space group P4/mbm (No. 127)
Symmetry-distinct sites (fractional):
1 Tm 0.1775 0.3225 0.0000  6 Ni 2.72-2.81
2 Ni 0.1200 0.6200 0.5000  1 Ni 2.43
3 Au 0.0000 0.0000 0.5000  4 Ni 2.85, 8 Tm 3.19

=====

First-principles (PBE) data for an optimized crystal structure of Tm4NiAu, as listed in the Alexandria database.

## Properties
Size of the total moment ... 0.0 μB per cell
Uncorrected energy ... -4.847 eV/atom
Energy of formation ... -2.14 eV/f.u.

a b c (Å): 6.8135 6.8599 6.7747
angles (deg): 90.00 94.17 90.00
Closest atoms and distances in Å follow each position.
Space group P2_1/c (No. 14)
Symmetry-distinct sites (fractional):
1 Tm 0.1533 0.1645 0.1842  2 Ni 2.70-2.78, 1 Au 2.97
2 Tm 0.3250 0.6541 0.1322  1 Ni 2.56, 1 Au 2.83
3 Ni 0.0000 0.0000 0.5000  6 Tm 2.56-2.78
4 Au 0.5000 0.0000 0.0000  6 Tm 2.83-2.97

=====

First-principles (PBE) data for an optimized crystal structure of Tm4Ni3Au, as listed in the Alexandria database.

## Properties
Size of the total moment ... 0.0 μB per cell
Uncorrected energy ... -5.393 eV/atom
Energy of formation ... -4.64 eV/f.u.

a b c (Å): 3.6578 4.3810 10.1039
angles (deg): 90.00 90.00 90.00
Closest atoms and distances in Å follow each position.
Space group Pmm2 (No. 25)
Symmetry-distinct sites (fractional):
1 Tm 0.0000 0.0000 0.0000  6 Ni 2.74-2.91, 1 Au 2.97
2 Tm 0.0000 0.5000 0.2652  7 Ni 2.80-2.92
3 Tm 0.5000 0.0000 0.4763  5 Ni 2.77-2.93, 2 Au 2.96
4 Tm 0.5000 0.5000 0.7731  3 Ni 2.85-2.95, 4 Au 2.93
5 Ni 0.0000 0.5000 0.5438  2 Au 2.74, 7 Tm 2.82-2.95
6 Ni 0.5000 0.0000 0.2022  2 Ni 2.65, 7 Tm 2.74-2.92
7 Ni 0.5000 0.5000 0.0547  2 Ni 2.65, 7 Tm 2.80-2.91
8 Au 0.0000 0.0000 0.7063  2 Ni 2.74, 7 Tm 2.93-2.97

=====

First-principles (PBE) data for an optimized crystal structure of Tm12Ni6Au, as listed in the Alexandria database.

## Properties
Size of the total moment ... 0.0 μB per cell
Uncorrected energy ... -5.066 eV/atom
Energy of formation ... -4.63 eV/f.u.
Offset from the most stable computed form ... 0.160 eV per atom

a b c (Å): 12.6133 12.6133 10.3792
angles (deg): 90.00 90.00 120.00
Closest atoms and distances in Å follow each position.
Space group R-3 (No. 148, hexagonal axes)
Symmetry-distinct sites (fractional):
1 Tm 0.0325 0.8242 0.3801  4 Ni 2.75-2.95
2 Tm 0.0353 0.8151 0.8877  2 Ni 2.59-2.66, 1 Au 2.83
3 Ni 0.0445 0.7862 0.6418  5 Tm 2.59-2.82
4 Au 0.0000 0.0000 0.0000  6 Tm 2.83

=====

First-principles (PBE) data for an optimized crystal structure of Tm6Ni2Au, as listed in the Alexandria database.

## Properties
Size of the total moment ... 0.0 μB per cell
Uncorrected energy ... -5.073 eV/atom
Energy of formation ... -3.99 eV/f.u.

a b c (Å): 9.1973 9.3597 9.7512
angles (deg): 90.00 90.00 90.00
Closest atoms and distances in Å follow each position.
Space group Immm (No. 71)
Symmetry-distinct sites (fractional):
1 Tm 0.0000 0.1923 0.2415  1 Ni 2.77, 2 Au 2.96-3.10
2 Tm 0.1929 0.5000 0.1726  3 Ni 2.68-2.83
3 Tm 0.2189 0.3195 0.5000  3 Ni 2.88-3.02, 1 Au 3.09
4 Ni 0.0000 0.3476 0.0000  8 Tm 2.77-3.02, 1 Ni 2.85
5 Ni 0.0000 0.5000 0.3786  1 Ni 2.37
6 Au 0.0000 0.0000 0.0000  8 Tm 2.96-3.09, 2 Ni 3.25
7 Au 0.0000 0.0000 0.5000  8 Tm 3.10-3.29

=====

First-principles (PBE) data for an optimized crystal structure of Tm3NiAu2, as listed in the Alexandria database.

## Properties
Size of the total moment ... 0.0 μB per cell
Uncorrected energy ... -4.995 eV/atom
Energy of formation ... -4.22 eV/f.u.

a b c (Å): 11.4984 4.4264 10.5555
angles (deg): 90.00 90.00 90.00
Closest atoms and distances in Å follow each position.
Space group Pnma (No. 62)
Symmetry-distinct sites (fractional):
1 Tm 0.0493 0.2500 0.1255  1 Ni 2.77, 5 Au 2.95-3.08
2 Tm 0.1115 0.7500 0.5614  3 Ni 2.82-2.98, 3 Au 2.94-3.00
3 Tm 0.2356 0.2500 0.7944  2 Ni 2.85, 3 Au 2.93-3.13
4 Ni 0.1266 0.2500 0.3737  3 Au 2.57-2.73, 4 Tm 2.77-2.85
5 Au 0.0025 0.7500 0.3037  2 Ni 2.73, 7 Tm 2.93-3.01
6 Au 0.1882 0.7500 0.0097  1 Ni 2.57

=====

First-principles (PBE) data for an optimized crystal structure of Tm2Ni9Au, as listed in the Alexandria database.

## Properties
Size of the total moment ... 8.3 μB per cell
Uncorrected energy ... -5.593 eV/atom
Energy of formation ... -2.86 eV/f.u.

a b c (Å): 4.9040 4.9040 23.7995
angles (deg): 90.00 90.00 120.00
Closest atoms and distances in Å follow each position.
Space group R-3m (No. 166, hexagonal axes)
Symmetry-distinct sites (fractional):
1 Tm 0.0000 0.0000 0.1343  9 Ni 2.74-2.93
2 Ni 0.0000 0.0000 0.3332  6 Ni 2.42-2.43
3 Ni 0.0000 0.0000 0.5000  6 Ni 2.45
4 Ni 0.0019 0.5010 0.9173  7 Ni 2.42-2.47
5 Au 0.0000 0.0000 0.0000  18 Ni 2.83-3.14

=====

First-principles (PBE) data for an optimized crystal structure of Tm4Ni2Au, as listed in the Alexandria database.

## Properties
Size of the total moment ... 0.0 μB per cell
Uncorrected energy ... -5.159 eV/atom
Energy of formation ... -3.39 eV/f.u.

a b c (Å): 6.7988 7.1202 7.4459
angles (deg): 106.49 106.48 105.87
Closest atoms and distances in Å follow each position.
Space group P1 (No. 1)
Symmetry-distinct sites (fractional):
1 Tm 0.0000 0.0000 0.0000  4 Ni 2.74-3.00, 1 Au 3.05
2 Tm 0.0159 0.5910 0.1782  3 Ni 2.67-2.84, 1 Au 2.94
3 Tm 0.2423 0.3684 0.8418  3 Ni 2.76-2.82, 2 Au 2.93-3.08
4 Tm 0.3530 0.1255 0.4555  2 Ni 2.73-2.84, 1 Au 2.85
5 Tm 0.4318 0.7195 0.6549  3 Ni 2.66-2.89, 1 Au 2.88
6 Tm 0.5758 0.1481 0.0857  1 Ni 2.58
7 Tm 0.7943 0.9427 0.4128  4 Ni 2.82-3.10, 2 Au 3.08-3.09
8 Tm 0.8770 0.5441 0.6100  2 Ni 2.75-2.78, 2 Au 2.99-3.03
9 Ni 0.0630 0.3218 0.3904  6 Tm 2.73-2.98, 1 Au 3.04
10 Ni 0.1810 0.9430 0.7000  7 Tm 2.66-2.95
11 Ni 0.3294 0.7939 0.0739  3 Tm 2.58-2.82, 1 Ni 2.67
12 Ni 0.6552 0.6901 0.9979  1 Ni 2.67, 5 Tm 2.67-2.82
13 Au 0.4566 0.4892 0.2817  7 Tm 2.88-3.21, 2 Ni 3.04-3.17
14 Au 0.7512 0.2244 0.7875  7 Tm 2.85-3.08

=====

First-principles (PBE) data for an optimized crystal structure of YTmNiAu, as listed in the Alexandria database.

## Properties
Size of the total moment ... 0.0 μB per cell
Uncorrected energy ... -5.652 eV/atom
Energy of formation ... -2.61 eV/f.u.
Offset from the most stable computed form ... 0.000 eV per atom

a b c (Å): 4.5246 3.7348 10.3688
angles (deg): 90.00 90.00 90.00
Closest atoms and distances in Å follow each position.
Space group Amm2 (No. 38)
Symmetry-distinct sites (fractional):
1 Y 0.0000 0.0000 0.0000  3 Ni 2.85-2.99, 4 Au 3.01
2 Tm 0.5000 0.0000 0.2810  3 Au 2.92-2.94, 4 Ni 2.99
3 Ni 0.0000 0.0000 0.7247  2 Au 2.81, 3 Y 2.85-2.99, 4 Tm 2.99
4 Au 0.5000 0.0000 0.5647  2 Ni 2.81, 3 Tm 2.92-2.94, 4 Y 3.01

=====

First-principles (PBE) data for an optimized crystal structure of YTmNiAu, as listed in the Alexandria database.

## Properties
Size of the total moment ... 0.0 μB per cell
Uncorrected energy ... -5.604 eV/atom
Energy of formation ... -2.42 eV/f.u.
Offset from the most stable computed form ... 0.048 eV per atom

a b c (Å): 6.9705 6.9705 6.9705
angles (deg): 90.00 90.00 90.00
Closest atoms and distances in Å follow each position.
Space group F-43m (No. 216)
Symmetry-distinct sites (fractional):
1 Y 0.0000 0.0000 0.0000  4 Ni 3.02, 4 Au 3.02
2 Tm 0.0000 0.0000 0.5000  4 Ni 3.02, 4 Au 3.02
3 Ni 0.2500 0.2500 0.7500  4 Tm 3.02, 4 Y 3.02
4 Au 0.2500 0.2500 0.2500  4 Tm 3.02, 4 Y 3.02

=====

First-principles (PBE) data for an optimized crystal structure of TmZrNiAu, as listed in the Alexandria database.

## Properties
Size of the total moment ... 0.0 μB per cell
Uncorrected energy ... -5.973 eV/atom
Energy of formation ... -1.81 eV/f.u.

a b c (Å): 6.7958 6.7958 6.7958
angles (deg): 90.00 90.00 90.00
Closest atoms and distances in Å follow each position.
Space group F-43m (No. 216)
Symmetry-distinct sites (fractional):
1 Tm 0.0000 0.0000 0.0000  4 Ni 2.94, 4 Au 2.94
2 Zr 0.0000 0.0000 0.5000  4 Ni 2.94, 4 Au 2.94
3 Ni 0.2500 0.2500 0.7500  4 Zr 2.94, 4 Tm 2.94
4 Au 0.2500 0.2500 0.2500  4 Zr 2.94, 4 Tm 2.94

=====

First-principles (PBE) data for an optimized crystal structure of UNi4Au8, as listed in the Alexandria database.

## Properties
Size of the total moment ... 4.7 μB per cell
Uncorrected energy ... -4.716 eV/atom
Energy of formation ... -0.67 eV/f.u.

a b c (Å): 9.0696 9.0696 5.3138
angles (deg): 90.00 90.00 90.00
Closest atoms and distances in Å follow each position.
Space group I4/mmm (No. 139)
Symmetry-distinct sites (fractional):
1 U 0.0000 0.0000 0.0000  12 Au 3.04-3.31
2 Ni 0.2500 0.2500 0.2500  8 Au 2.64-2.74, 2 Ni 2.66
3 Au 0.0000 0.2184 0.5000  4 Ni 2.64, 6 Au 2.80-2.96
4 Au 0.0000 0.3349 0.0000  4 Ni 2.74, 5 Au 2.86-2.99, 1 U 3.04

=====

First-principles (PBE) data for an optimized crystal structure of UNi2Au, as listed in the Alexandria database.

## Properties
Size of the total moment ... 6.7 μB per cell
Uncorrected energy ... -6.648 eV/atom
Energy of formation ... -0.46 eV/f.u.

a b c (Å): 6.3907 6.3907 6.3907
angles (deg): 90.00 90.00 90.00
Closest atoms and distances in Å follow each position.
Space group Fm-3m (No. 225)
Symmetry-distinct sites (fractional):
1 U 0.0000 0.0000 0.0000  8 Ni 2.77
2 Ni 0.2500 0.2500 0.2500  4 U 2.77, 4 Au 2.77
3 Au 0.0000 0.0000 0.5000  8 Ni 2.77

=====

First-principles (PBE) data for an optimized crystal structure of UNi6Au, as listed in the Alexandria database.

## Properties
Size of the total moment ... 0.0 μB per cell
Uncorrected energy ... -6.170 eV/atom
Energy of formation ... -0.11 eV/f.u.

a b c (Å): 4.7471 4.7471 4.7471
angles (deg): 90.00 90.00 90.00
Closest atoms and distances in Å follow each position.
Space group Pm-3 (No. 200)
Symmetry-distinct sites (fractional):
1 U 0.0000 0.0000 0.0000  12 Ni 2.66
2 Ni 0.0000 0.5000 0.2513  2 Ni 2.36-2.39
3 Au 0.5000 0.5000 0.5000  12 Ni 2.65